A geometry-optimized Hf4TcSb structure, computed with PBE.

POSCAR file:
```
Hf4TcSb
1.0
4.085 -6.072 0.000
4.085 6.072 0.000
-2.028 0.000 5.257
Hf Tc Sb
8 2 2
direct
0.064 0.709 0.932
0.200 0.371 0.646
0.291 0.936 0.568
0.371 0.200 0.146
0.629 0.800 0.854
0.709 0.064 0.432
0.800 0.629 0.354
0.936 0.291 0.068
0.002 0.998 0.750
0.998 0.002 0.250
0.380 0.620 0.250
0.620 0.380 0.750
```

The total magnetization is 0.0 μB per cell. Its formation energy (no corrections) is -0.258 eV per atom.

***

A geometry-optimized TaTl2As structure, computed with PBE.

POSCAR file:
```
TaTl2As
1.0
3.230 0.000 0.000
0.000 5.501 0.000
-0.319 0.000 5.250
Ta Tl As
1 2 1
direct
0.000 0.000 0.000
0.284 0.500 0.246
0.716 0.500 0.754
0.000 0.000 0.500
```

The total magnetization is 0.0 μB per cell. As for the energy above the most stable polymorph in this dataset: 43.1 kJ per mole of atoms. The formation energy is 0.544 eV per atom.

***

A geometry-optimized NdThMgSc structure, computed with PBE.

POSCAR file:
```
NdThMgSc
1.0
0.000 3.868 3.868
3.868 0.000 3.868
3.868 3.868 0.000
Nd Th Mg Sc
1 1 1 1
direct
0.000 0.000 0.000
0.500 0.500 0.500
0.250 0.250 0.250
0.750 0.750 0.750
```

The total magnetization is 0.0 μB per cell. As for the energy above the most stable polymorph in this dataset: 10.3 kJ per mole of atoms. The formation energy is 0.084 eV per atom.

***

A geometry-optimized VSiRu structure, computed with PBE.

POSCAR file:
```
VSiRu
1.0
4.108 0.000 0.000
-2.054 3.558 0.000
0.000 0.000 2.784
V Si Ru
1 1 1
direct
0.000 0.000 0.000
0.667 0.333 0.500
0.333 0.667 0.500
```

The total magnetization is 0.0 μB per cell. Its formation energy (no corrections) is -0.438 eV per atom.

***

A geometry-optimized Sr2SbS structure, computed with PBE.

POSCAR file:
```
Sr2SbS
1.0
0.000 3.921 3.921
3.921 0.000 3.921
3.921 3.921 0.000
Sr Sb S
2 1 1
direct
0.250 0.250 0.250
0.750 0.750 0.750
0.000 0.000 0.000
0.500 0.500 0.500
```

The total magnetization is 0.0 μB per cell. Its formation energy (no corrections) is -1.090 eV per atom. As for the energy above the most stable polymorph in this dataset: 33.3 kJ per mole of atoms.

***

A geometry-optimized YInF2 structure, computed with PBE.

POSCAR file:
```
YInF2
1.0
1.839 1.062 8.091
-1.839 1.062 8.091
0.000 -2.124 8.091
Y In F
1 1 2
direct
0.000 0.000 0.000
0.500 0.500 0.500
0.088 0.088 0.088
0.912 0.912 0.912
```

The total magnetization is 0.0 μB per cell. Its formation energy (no corrections) is -2.016 eV per atom. As for the energy above the most stable polymorph in this dataset: 28.1 kJ per mole of atoms.

***

A geometry-optimized NaScPCl2 structure, computed with PBE.

POSCAR file:
```
NaScPCl2
1.0
5.050 0.000 0.000
0.000 5.050 0.000
0.000 0.000 5.159
Na Sc P Cl
1 1 1 2
direct
0.000 0.000 0.000
0.500 0.500 0.500
0.500 0.500 0.000
0.000 0.500 0.500
0.500 0.000 0.500
```

The total magnetization is 1.0 μB per cell. Its formation energy (no corrections) is -1.113 eV per atom. As for the energy above the most stable polymorph in this dataset: 0.0 kJ per mole of atoms.